Record 1
# Li3Pm2GaGe4 | Alexandria | PBE | relaxed
# **N(E_F)**: 1.79 states/eV/cell
# **Total magnetization**: 0.00 μB/cell
# **Energy of formation**: -568 meV/atom
data_Li3Pm2GaGe4
_space_group_name_H-M_alt 'P -4 m 2'
_space_group_IT_number 115
_space_group_name_Hall 'P -4 -2'
_cell_length_a 4.188
_cell_length_b 4.188
_cell_length_c 10.650
_cell_angle_alpha 90.00
_cell_angle_beta 90.00
_cell_angle_gamma 90.00
loop_
_atom_site_label
_atom_site_type_symbol
_atom_site_fract_x
_atom_site_fract_y
_atom_site_fract_z
Li1 Li 0.000 0.000 0.000
Li2 Li 0.000 0.500 0.627
Pm1 Pm 0.000 0.500 0.262
Ga1 Ga 0.500 0.500 0.000
Ge1 Ge 0.000 0.000 0.500
Ge2 Ge 0.000 0.500 0.853
Ge3 Ge 0.500 0.500 0.500

=====

Record 2
# CsZnHg2 | Alexandria | PBE | relaxed
# **N(E_F)**: 7.41 states/eV/cell
# **Total magnetization**: 0.00 μB/cell
# **Energy of formation**: -87 meV/atom
data_CsZnHg2
_space_group_name_H-M_alt 'R 3 m'
_space_group_IT_number 160
_space_group_name_Hall 'R 3 -2"'
_cell_length_a 4.9773
_cell_length_b 4.9773
_cell_length_c 19.8774
_cell_angle_alpha 90.00
_cell_angle_beta 90.00
_cell_angle_gamma 120.00
loop_
_atom_site_label
_atom_site_type_symbol
_atom_site_fract_x
_atom_site_fract_y
_atom_site_fract_z
Cs1 Cs 0.0000 0.0000 0.0000
Zn1 Zn 0.0000 0.0000 0.8079
Hg1 Hg 0.0000 0.0000 0.1953
Hg2 Hg 0.0000 0.0000 0.4689

=====

Record 3
# SmHoTmIn | Alexandria | PBE | relaxed
# **N(E_F)**: 5.87 states/eV/cell
# **Total magnetization**: 0.08 μB/cell
# **Energy of formation**: -261 meV/atom
# **ΔE to the lowest computed polymorph**: 0.000 eV/atom
data_SmHoTmIn
_space_group_name_H-M_alt 'P m m m'
_space_group_IT_number 47
_space_group_name_Hall '-P 2 2'
_cell_length_a 4.830
_cell_length_b 4.856
_cell_length_c 4.860
_cell_angle_alpha 90.00
_cell_angle_beta 90.00
_cell_angle_gamma 90.00
loop_
_atom_site_label
_atom_site_type_symbol
_atom_site_fract_x
_atom_site_fract_y
_atom_site_fract_z
Sm1 Sm 0.000 0.000 0.000
Ho1 Ho 0.500 0.500 0.000
Tm1 Tm 0.500 0.000 0.500
In1 In 0.000 0.500 0.500

=====

Record 4
# Dy4HoTh2 | Alexandria | PBE | relaxed
# **N(E_F)**: 28.12 states/eV/cell
# **Total magnetization**: 0.11 μB/cell
# **Energy of formation**: 811 meV/atom
# **ΔE to the lowest computed polymorph**: 0.696 eV/atom
data_Dy4HoTh2
_space_group_name_H-M_alt 'I 4/m m m'
_space_group_IT_number 139
_space_group_name_Hall '-I 4 2'
_cell_length_a 5.536
_cell_length_b 5.536
_cell_length_c 16.735
_cell_angle_alpha 90.00
_cell_angle_beta 90.00
_cell_angle_gamma 90.00
loop_
_atom_site_label
_atom_site_type_symbol
_atom_site_fract_x
_atom_site_fract_y
_atom_site_fract_z
Dy1 Dy 0.000 0.000 0.182
Dy2 Dy 0.000 0.500 0.000
Ho1 Ho 0.000 0.000 0.000
Th1 Th 0.000 0.000 0.387

=====

Record 5
# Ce5CdGa3 | Alexandria | PBE | relaxed
# **N(E_F)**: 42.07 states/eV/cell
# **Total magnetization**: 10.57 μB/cell
# **Energy of formation**: -335 meV/atom
data_Ce5CdGa3
_space_group_name_H-M_alt 'P 63/m c m'
_space_group_IT_number 193
_space_group_name_Hall '-P 6c 2'
_cell_length_a 9.0862
_cell_length_b 9.0862
_cell_length_c 6.3474
_cell_angle_alpha 90.00
_cell_angle_beta 90.00
_cell_angle_gamma 120.00
loop_
_atom_site_label
_atom_site_type_symbol
_atom_site_fract_x
_atom_site_fract_y
_atom_site_fract_z
Ce1 Ce 0.0000 0.3165 0.2500
Ce2 Ce 0.3333 0.6667 0.0000
Cd1 Cd 0.0000 0.0000 0.0000
Ga1 Ga 0.0000 0.3493 0.7500

=====

Record 6
# LaFeW4 | Alexandria | PBE | relaxed
# **N(E_F)**: 25.67 states/eV/cell
# **Total magnetization**: 10.65 μB/cell
# **Energy of formation**: 685 meV/atom
data_LaFeW4
_space_group_name_H-M_alt 'F -4 3 m'
_space_group_IT_number 216
_space_group_name_Hall 'F -4 2 3'
_cell_length_a 7.734
_cell_length_b 7.734
_cell_length_c 7.734
_cell_angle_alpha 90.00
_cell_angle_beta 90.00
_cell_angle_gamma 90.00
loop_
_atom_site_label
_atom_site_type_symbol
_atom_site_fract_x
_atom_site_fract_y
_atom_site_fract_z
La1 La 0.000 0.000 0.000
Fe1 Fe 0.250 0.250 0.250
W1 W 0.125 0.125 0.625

=====

Record 7
# MgBe | Alexandria | PBE | relaxed
# **N(E_F)**: 2.35 states/eV/cell
# **Total magnetization**: 0.00 μB/cell
# **Energy of formation**: 581 meV/atom
# **ΔE to the lowest computed polymorph**: 0.369 eV/atom
data_MgBe
_space_group_name_H-M_alt 'C m c m'
_space_group_IT_number 63
_space_group_name_Hall '-C 2c 2'
_cell_length_a 2.688
_cell_length_b 10.071
_cell_length_c 4.525
_cell_angle_alpha 90.00
_cell_angle_beta 90.00
_cell_angle_gamma 90.00
loop_
_atom_site_label
_atom_site_type_symbol
_atom_site_fract_x
_atom_site_fract_y
_atom_site_fract_z
Mg1 Mg 0.000 0.083 0.250
Be1 Be 0.000 0.339 0.250

=====

Record 8
# CePr12Dy7 | Alexandria | PBE | relaxed
# **N(E_F)**: 100.37 states/eV/cell
# **Total magnetization**: 1.59 μB/cell
# **Energy of formation**: 151 meV/atom
# **ΔE to the lowest computed polymorph**: 0.000 eV/atom
data_CePr12Dy7
_space_group_name_H-M_alt 'R -3'
_space_group_IT_number 148
_space_group_name_Hall '-R 3'
_cell_length_a 15.5415
_cell_length_b 15.5415
_cell_length_c 10.0165
_cell_angle_alpha 90.00
_cell_angle_beta 90.00
_cell_angle_gamma 120.00
loop_
_atom_site_label
_atom_site_type_symbol
_atom_site_fract_x
_atom_site_fract_y
_atom_site_fract_z
Ce1 Ce 0.0000 0.0000 0.0000
Pr1 Pr 0.0131 0.7648 0.4062
Pr2 Pr 0.0761 0.4887 0.6222
Dy1 Dy 0.0000 0.0000 0.5000
Dy2 Dy 0.0046 0.1447 0.2680

=====

Record 9
# LaTcBr2 | Alexandria | PBE | relaxed
# **N(E_F)**: 2.65 states/eV/cell
# **Total magnetization**: 3.02 μB/cell
# **Formation energy from raw total energies**: -179 meV/atom
# **ΔE to the lowest computed polymorph**: 0.382 eV/atom
data_LaTcBr2
_space_group_name_H-M_alt 'P m m m'
_space_group_IT_number 47
_space_group_name_Hall '-P 2 2'
_cell_length_a 4.123
_cell_length_b 4.793
_cell_length_c 4.810
_cell_angle_alpha 90.00
_cell_angle_beta 90.00
_cell_angle_gamma 90.00
loop_
_atom_site_label
_atom_site_type_symbol
_atom_site_fract_x
_atom_site_fract_y
_atom_site_fract_z
La1 La 0.000 0.000 0.000
Tc1 Tc 0.000 0.500 0.500
Br1 Br 0.500 0.000 0.500
Br2 Br 0.500 0.500 0.000

=====

Record 10
# BaNp2N3 | Alexandria | PBE | relaxed
# **N(E_F)**: 9.33 states/eV/cell
# **Total magnetization**: 6.46 μB/cell
# **Formation energy from raw total energies**: -891 meV/atom
# **ΔE to the lowest computed polymorph**: 0.037 eV/atom
data_BaNp2N3
_space_group_name_H-M_alt 'P 6/m m m'
_space_group_IT_number 191
_space_group_name_Hall '-P 6 2'
_cell_length_a 6.0756
_cell_length_b 6.0756
_cell_length_c 3.2065
_cell_angle_alpha 90.00
_cell_angle_beta 90.00
_cell_angle_gamma 120.00
loop_
_atom_site_label
_atom_site_type_symbol
_atom_site_fract_x
_atom_site_fract_y
_atom_site_fract_z
Ba1 Ba 0.0000 0.0000 0.0000
Np1 Np 0.3333 0.6667 0.5000
N1 N 0.0000 0.5000 0.0000

=====

Record 11
# Mg2NiAs2Ru | Alexandria | PBE | relaxed
# **N(E_F)**: 14.78 states/eV/cell
# **Total magnetization**: 0.00 μB/cell
# **Energy of formation**: -424 meV/atom
data_Mg2NiAs2Ru
_space_group_name_H-M_alt 'I b a m'
_space_group_IT_number 72
_space_group_name_Hall '-I 2 2c'
_cell_length_a 5.634
_cell_length_b 12.171
_cell_length_c 5.846
_cell_angle_alpha 90.00
_cell_angle_beta 90.00
_cell_angle_gamma 90.00
loop_
_atom_site_label
_atom_site_type_symbol
_atom_site_fract_x
_atom_site_fract_y
_atom_site_fract_z
Mg1 Mg 0.248 0.158 0.000
Ni1 Ni 0.000 0.000 0.250
As1 As 0.243 0.119 0.500
Ru1 Ru 0.000 0.500 0.250

=====

Record 12
# La5CSe4 | Alexandria | PBE | relaxed
# **N(E_F)**: 12.52 states/eV/cell
# **Total magnetization**: 0.00 μB/cell
# **Formation energy from raw total energies**: -1606 meV/atom
data_La5CSe4
_space_group_name_H-M_alt 'I 4'
_space_group_IT_number 79
_space_group_name_Hall 'I 4'
_cell_length_a 9.477
_cell_length_b 9.477
_cell_length_c 6.056
_cell_angle_alpha 90.00
_cell_angle_beta 90.00
_cell_angle_gamma 90.00
loop_
_atom_site_label
_atom_site_type_symbol
_atom_site_fract_x
_atom_site_fract_y
_atom_site_fract_z
La1 La 0.000 0.000 0.000
La2 La 0.092 0.269 0.472
C1 C 0.000 0.000 0.441
Se1 Se 0.092 0.304 0.974